VASP calculation (PBE with a Hubbard U) on crystalline VCd2F at its relaxed geometry.

Output
Crystal system: cubic
Polymorph energy (0 for the lowest one), kJ/mol of formula units: 149.8
Spin magnetization, Bohr magnetons per cell: 14.12
N(E_F), states/eV/f.u.: 5.6
Energy, eV per atom: -2.667

Cell: 6.8520 6.8520 6.8520 Å, 90.00 90.00 90.00°
With the nearest neighbours (Å) after each atom.
Space group Fm-3m (No. 225)
Asymmetric unit:
V: 0.0000 0.0000 0.0000  8 Cd 2.97
Cd: 0.2500 0.2500 0.2500  4 F 2.97, 4 V 2.97
F: 0.0000 0.0000 0.5000  8 Cd 2.97